Record 1
Compound: BaMg2ZnAg
Source: OQMD via LeMat-Bulk
Functional: PBE
Structure: relaxed

Calculated total energy ... -20.20 eV/cell
Calculated density ... 4.5 g/cm³
Volume ... 26.73 Å³/atom

Lattice parameters (Å, degrees): 4.5972 4.5972 12.6479 90.00 90.00 90.00
With the nearest neighbours (Å) after each atom.
Space group I4mm (No. 107)
Symmetry-distinct sites (fractional):
Ba1 0.0000 0.0000 0.0000 x2  4 Zn 3.54, 4 Ag 3.56, 8 Mg 3.88-3.94
Mg1 0.0000 0.5000 0.2474 x4  2 Zn 2.88, 2 Ag 2.88
Zn1 0.0000 0.0000 0.6103 x2  1 Ag 2.85, 4 Mg 2.88
Ag1 0.0000 0.0000 0.3847 x2  1 Zn 2.85, 4 Mg 2.88

Record 2
Compound: Ho3Tm5
Source: OQMD via LeMat-Bulk
Functional: PBE
Structure: relaxed

Formation enthalpy at 0 K ... 0.01 eV per formula unit
Calculated total energy ... -72.20 eV/cell
Calculated density ... 9.2 g/cm³
Volume ... 30.37 Å³/atom

Lattice parameters (Å, degrees): 5.5256 7.1251 12.3417 90.00 90.00 90.00
With the nearest neighbours (Å) after each atom.
Space group Amm2 (No. 38)
Symmetry-distinct sites (fractional):
Ho1 0.0000 0.0000 0.9998 x2  10 Tm 3.45-3.57, 2 Ho 3.56
Ho2 0.0000 0.0000 0.5000 x2  8 Tm 3.44-3.57, 4 Ho 3.45-3.56
Ho3 0.5000 0.0000 0.3330 x2  10 Tm 3.45-3.56, 2 Ho 3.45
Tm1 0.0000 0.2503 0.2495 x4  6 Tm 3.44-3.57, 6 Ho 3.45-3.57
Tm2 0.5000 0.0000 0.8327 x2  8 Tm 3.44-3.57, 4 Ho 3.45-3.56
Tm3 0.5000 0.2504 0.0833 x4  6 Tm 3.44-3.57, 6 Ho 3.44-3.56

Record 3
Compound: CsHg3PdS4
Source: OQMD via LeMat-Bulk
Functional: PBE
Structure: relaxed

Calculated total energy ... -24.13 eV/cell
Calculated density ... 5.6 g/cm³
Volume ... 31.99 Å³/atom

Lattice parameters (Å, degrees): 6.6035 6.6035 6.6035 90.00 90.00 90.00
With the nearest neighbours (Å) after each atom.
Space group P-43m (No. 215)
Symmetry-distinct sites (fractional):
Cs1 0.0000 0.0000 0.0000 x1  4 S 3.31
Hg1 0.0000 0.5000 0.5000 x3  4 S 2.74
Pd1 0.5000 0.5000 0.5000 x1  4 S 2.41
S1 0.2893 0.2893 0.2893 x4  1 Pd 2.41

Record 4
Compound: ErCdGe
Source: OQMD via LeMat-Bulk
Functional: PBE
Structure: relaxed

Calculated total energy ... -44.47 eV/cell
Calculated density ... 8.0 g/cm³
Volume ... 24.26 Å³/atom

Lattice parameters (Å, degrees): 6.6275 6.6275 6.6275 90.00 90.00 90.00
With the nearest neighbours (Å) after each atom.
Space group F-43m (No. 216)
Symmetry-distinct sites (fractional):
Er1 0.0000 0.0000 0.0000 x4  4 Ge 2.87
Cd1 0.0000 0.0000 0.5000 x4  4 Ge 2.87
Ge1 0.2500 0.2500 0.7500 x4  4 Cd 2.87, 4 Er 2.87

Record 5
Compound: SrZnFeTe3
Source: OQMD via LeMat-Bulk
Functional: PBE
Structure: relaxed

Calculated total energy ... -94.21 eV/cell
Calculated density ... 5.9 g/cm³
Volume ... 27.85 Å³/atom

Lattice parameters (Å, degrees): 4.2765 14.1470 11.0466 90.00 90.00 90.00
With the nearest neighbours (Å) after each atom.
Space group Cmcm (No. 63)
Symmetry-distinct sites (fractional):
Sr1 0.0000 0.2482 0.2500 x4  8 Te 3.34-3.71, 2 Fe 3.65
Zn1 0.0000 0.0000 0.0000 x4  6 Te 2.94
Fe1 0.0000 0.4607 0.7500 x4  4 Te 2.59-2.64
Te1 0.0000 0.0702 0.7500 x4  2 Fe 2.64, 2 Zn 2.94
Te2 0.0000 0.3629 0.5517 x8  1 Fe 2.59

Record 6
Compound: HoEr3Tm2Bi2Os
Source: OQMD via LeMat-Bulk
Functional: PBE
Structure: relaxed

Calculated total energy ... -103.03 eV/cell
Calculated density ... 10.9 g/cm³
Volume ... 27.40 Å³/atom

Lattice parameters (Å, degrees): 4.2158 14.2538 8.2077 90.00 90.00 90.00
With the nearest neighbours (Å) after each atom.
Space group Amm2 (No. 38)
Symmetry-distinct sites (fractional):
Ho1 0.0000 0.0000 0.0000 x2  2 Os 2.86
Er1 0.5000 0.0000 0.6172 x2  1 Os 3.13, 4 Bi 3.32, 4 Tm 3.47
Er2 0.5000 0.1926 0.0414 x4  1 Os 3.18, 4 Bi 3.30-3.31, 2 Tm 3.47, 2 Ho 3.48
Tm1 0.0000 0.1166 0.3502 x4  2 Os 2.84
Bi1 0.0000 0.1673 0.7329 x4  2 Tm 3.22-3.23, 1 Ho 3.24, 6 Er 3.30-3.32
Os1 0.5000 0.0000 0.2362 x2  4 Tm 2.84, 2 Ho 2.86, 3 Er 3.13-3.18

Record 7
Compound: YTm2Zn3IrPt2
Source: OQMD via LeMat-Bulk
Functional: PBE
Structure: relaxed

Formation enthalpy at 0 K ... -8.02 eV per formula unit
Calculated total energy ... -96.40 eV/cell
Calculated density ... 11.5 g/cm³
Volume ... 19.30 Å³/atom

Lattice parameters (Å, degrees): 3.8759 12.4980 7.1707 90.00 90.00 90.00
With the nearest neighbours (Å) after each atom.
Space group Amm2 (No. 38)
Symmetry-distinct sites (fractional):
Y1 0.0000 0.0000 0.0000 x2  1 Ir 2.91, 4 Pt 2.96, 6 Zn 3.16-3.18
Tm1 0.0000 0.1991 0.3988 x4  1 Ir 2.85, 4 Pt 2.91-2.92, 4 Zn 3.16-3.17
Zn1 0.5000 0.0000 0.3477 x2  2 Ir 2.62, 2 Pt 2.77
Zn2 0.5000 0.1240 0.7218 x4  2 Ir 2.65, 2 Pt 2.72-2.77
Ir1 0.0000 0.0000 0.5939 x2  6 Zn 2.62-2.65, 2 Tm 2.85, 1 Y 2.91
Pt1 0.5000 0.1702 0.0997 x4  3 Zn 2.72-2.77, 4 Tm 2.91-2.92, 2 Y 2.96

Record 8
Compound: Tm2In2Ga6Co
Source: OQMD via LeMat-Bulk
Functional: PBE
Structure: relaxed

Calculated total energy ... -44.34 eV/cell
Calculated density ... 8.2 g/cm³
Volume ... 19.16 Å³/atom

Lattice parameters (Å, degrees): 4.2917 4.2917 11.4435 90.00 90.00 90.00
With the nearest neighbours (Å) after each atom.
Space group P4/mmm (No. 123)
Symmetry-distinct sites (fractional):
Tm1 0.0000 0.0000 0.2107 x2  8 Ga 2.95-3.03, 4 In 3.23
In1 0.0000 0.5000 0.0000 x2  4 In 3.03, 4 Ga 3.20, 4 Tm 3.23
Ga1 0.0000 0.5000 0.3874 x4  2 Co 2.50, 1 Ga 2.58
Ga2 0.5000 0.5000 0.2077 x2  4 Ga 2.97, 4 Tm 3.03, 4 In 3.20
Co1 0.0000 0.0000 0.5000 x1  8 Ga 2.50

Record 9
Compound: Ba2NiGe
Source: OQMD via LeMat-Bulk
Functional: PBE
Structure: relaxed

Calculated total energy ... -54.60 eV/cell
Calculated density ... 6.3 g/cm³
Volume ... 26.80 Å³/atom

Lattice parameters (Å, degrees): 7.5412 7.5412 7.5412 90.00 90.00 90.00
With the nearest neighbours (Å) after each atom.
Space group F-43m (No. 216)
Symmetry-distinct sites (fractional):
Ba1 0.0000 0.0000 0.0000 x4  4 Ba 3.27, 4 Ge 3.27
Ba2 0.2500 0.2500 0.2500 x4  4 Ba 3.27, 4 Ni 3.27
Ni1 0.0000 0.0000 0.5000 x4  4 Ge 3.27, 4 Ba 3.27
Ge1 0.2500 0.2500 0.7500 x4  4 Ba 3.27, 4 Ni 3.27

Record 10
Compound: Lu3InB2
Source: OQMD via LeMat-Bulk
Functional: PBE
Structure: relaxed

Calculated total energy ... -59.82 eV/cell
Calculated density ... 8.8 g/cm³
Volume ... 20.69 Å³/atom

Lattice parameters (Å, degrees): 3.4962 3.4962 23.4511 90.00 90.00 120.00
With the nearest neighbours (Å) after each atom.
Space group P6_3/mmc (No. 194)
Symmetry-distinct sites (fractional):
Lu1 0.0000 0.0000 0.0000 x2  6 B 2.63
Lu2 0.3333 0.6667 0.1357 x4  3 B 2.51
In1 0.0000 0.0000 0.2500 x2  6 Lu 3.36, 6 In 3.50
B1 0.3333 0.6667 0.5722 x4  6 Lu 2.51-2.63

Record 11
Compound: TaAgSb
Source: OQMD via LeMat-Bulk
Functional: PBE
Structure: relaxed

Calculated total energy ... -68.52 eV/cell
Calculated density ... 9.8 g/cm³
Volume ... 23.17 Å³/atom

Lattice parameters (Å, degrees): 6.5272 6.5272 6.5272 90.00 90.00 90.00
With the nearest neighbours (Å) after each atom.
Space group F-43m (No. 216)
Symmetry-distinct sites (fractional):
Ta1 0.0000 0.0000 0.0000 x4  4 Ag 2.83, 4 Sb 2.83
Ag1 0.2500 0.2500 0.7500 x4  4 Ta 2.83
Sb1 0.2500 0.2500 0.2500 x4  4 Ta 2.83

Record 12
Compound: AgSnNO
Source: OQMD via LeMat-Bulk
Functional: PBE
Structure: relaxed

Calculated total energy ... -40.98 eV/cell
Calculated density ... 6.6 g/cm³
Volume ... 16.21 Å³/atom

Lattice parameters (Å, degrees): 3.4489 6.3562 5.9171 90.00 90.00 90.00
With the nearest neighbours (Å) after each atom.
Space group Pmc2_1 (No. 26)
Symmetry-distinct sites (fractional):
Ag1 0.0000 0.1716 0.0000 x2  2 N 2.27, 2 O 2.37-2.49
Sn1 0.5000 0.3539 0.5097 x2  2 N 2.04, 2 O 2.07
N1 0.5000 0.3605 0.8536 x2  2 Sn 2.04, 2 Ag 2.27
O1 0.0000 0.1936 0.4200 x2  2 Sn 2.07

Record 13
Compound: LaErBe2Si2
Source: OQMD via LeMat-Bulk
Functional: PBE
Structure: relaxed

Calculated total energy ... -31.44 eV/cell
Calculated density ... 5.7 g/cm³
Volume ... 18.56 Å³/atom

Lattice parameters (Å, degrees): 3.9208 3.9208 8.3659 90.00 90.00 120.00
With the nearest neighbours (Å) after each atom.
Space group P-3m1 (No. 164)
Symmetry-distinct sites (fractional):
La1 0.0000 0.0000 0.0000 x1  6 Si 3.17, 6 Be 3.18
Er1 0.0000 0.0000 0.5000 x1  6 Be 2.99, 6 Si 2.99
Be1 0.3333 0.6667 0.7335 x2  3 Si 2.26
Si1 0.3333 0.6667 0.2660 x2  3 Be 2.26

Record 14
Compound: ScZnHg
Source: OQMD via LeMat-Bulk
Functional: PBE
Structure: relaxed

Formation enthalpy at 0 K ... -1.02 eV per formula unit
Calculated total energy ... -17.83 eV/cell
Calculated density ... 8.8 g/cm³
Volume ... 19.59 Å³/atom

Lattice parameters (Å, degrees): 4.5875 4.5875 6.4491 90.00 90.00 120.00
With the nearest neighbours (Å) after each atom.
Space group P6_3/mmc (No. 194)
Symmetry-distinct sites (fractional):
Sc1 0.0000 0.0000 0.0000 x2  6 Zn 3.10, 6 Hg 3.10, 2 Sc 3.22
Zn1 0.3333 0.6667 0.2500 x2  3 Hg 2.65
Hg1 0.3333 0.6667 0.7500 x2  3 Zn 2.65

Record 15
Compound: Hf3AgAs5
Source: OQMD via LeMat-Bulk
Functional: PBE
Structure: relaxed

Calculated total energy ... -57.69 eV/cell
Calculated density ... 8.0 g/cm³
Volume ... 23.49 Å³/atom

Lattice parameters (Å, degrees): 6.2574 6.2574 6.2347 90.00 90.00 120.00
With the nearest neighbours (Å) after each atom.
Space group P6/mmm (No. 191)
Symmetry-distinct sites (fractional):
Hf1 0.0000 0.5000 0.0000 x3  4 As 2.63
Ag1 0.0000 0.0000 0.5000 x1  2 As 3.12
As1 0.0000 0.0000 0.0000 x1  2 Ag 3.12, 6 Hf 3.13
As2 0.3333 0.6667 0.3075 x4  1 As 2.40, 3 Hf 2.63

Record 16
Compound: TmB2O4
Source: OQMD via LeMat-Bulk
Functional: PBE
Structure: relaxed

Calculated total energy ... -218.09 eV/cell
Calculated density ... 6.5 g/cm³
Volume ... 9.27 Å³/atom

Lattice parameters (Å, degrees): 10.4591 5.8145 4.5257 90.00 109.48 90.00
With the nearest neighbours (Å) after each atom.
Space group C2/c (No. 15)
Symmetry-distinct sites (fractional):
Tm1 0.0000 0.1609 0.2500 x4  6 O 2.29-2.43
B1 0.1946 0.3919 0.8909 x8  4 O 1.45-1.51
O1 0.1483 0.4276 0.5524 x8  2 B 1.45-1.46
O2 0.1554 0.1545 0.9678 x8  2 B 1.51

Record 17
Compound: CsLiCd
Source: OQMD via LeMat-Bulk
Functional: PBE
Structure: relaxed

Calculated total energy ... -12.06 eV/cell
Calculated density ... 3.1 g/cm³
Volume ... 45.10 Å³/atom

Lattice parameters (Å, degrees): 8.1495 8.1495 8.1495 90.00 90.00 90.00
With the nearest neighbours (Å) after each atom.
Space group F-43m (No. 216)
Symmetry-distinct sites (fractional):
Cs1 0.0000 0.0000 0.0000 x4  4 Li 3.53
Li1 0.2500 0.2500 0.7500 x4  4 Cs 3.53, 4 Cd 3.53
Cd1 0.0000 0.0000 0.5000 x4  4 Li 3.53

Record 18
Compound: Tb4CoB13
Source: OQMD via LeMat-Bulk
Functional: PBE
Structure: relaxed

Calculated total energy ... -241.36 eV/cell
Calculated density ... 7.4 g/cm³
Volume ... 10.36 Å³/atom

Lattice parameters (Å, degrees): 7.3315 7.3315 6.9407 90.00 90.00 90.00
With the nearest neighbours (Å) after each atom.
Space group P4/mnc (No. 128)
Symmetry-distinct sites (fractional):
Tb1 0.1812 0.3156 0.0000 x8  13 B 2.58-2.74, 1 Co 2.70
Co1 0.0000 0.0000 0.5000 x2  8 B 2.18
B1 0.0000 0.0000 0.0000 x2  8 B 2.13
B2 0.0394 0.8306 0.2459 x16  3 B 1.80
B3 0.0911 0.5911 0.2500 x8  3 B 1.80-1.89

Record 19
Compound: CuTc2Ge2
Source: OQMD via LeMat-Bulk
Functional: PBE
Structure: relaxed

Calculated total energy ... -63.76 eV/cell
Calculated density ... 8.0 g/cm³
Volume ... 16.87 Å³/atom

Lattice parameters (Å, degrees): 3.9513 3.9513 10.8057 90.00 90.00 90.00
With the nearest neighbours (Å) after each atom.
Space group I4/mmm (No. 139)
Symmetry-distinct sites (fractional):
Cu1 0.0000 0.0000 0.0000 x2  8 Ge 3.03, 8 Tc 3.35
Tc1 0.0000 0.5000 0.2500 x4  4 Ge 2.50, 4 Tc 2.79
Ge1 0.0000 0.0000 0.3917 x4  1 Ge 2.34, 4 Tc 2.50

Record 20
Compound: Sr4Bi2Mo
Source: OQMD via LeMat-Bulk
Functional: PBE
Structure: relaxed

Calculated total energy ... -48.76 eV/cell
Calculated density ... 5.4 g/cm³
Volume ... 38.21 Å³/atom

Lattice parameters (Å, degrees): 5.4676 5.4676 17.8947 90.00 90.00 90.00
With the nearest neighbours (Å) after each atom.
Space group I4/mmm (No. 139)
Symmetry-distinct sites (fractional):
Sr1 0.0000 0.0000 0.1793 x4  1 Mo 3.21, 1 Bi 3.36
Sr2 0.0000 0.5000 0.0000 x4  2 Mo 2.73
Bi1 0.0000 0.0000 0.3669 x4  5 Sr 3.36-3.63
Mo1 0.0000 0.0000 0.0000 x2  4 Sr 2.73

Record 21
Compound: YEr2Lu4Te2Pd2
Source: OQMD via LeMat-Bulk
Functional: PBE
Structure: relaxed

Calculated total energy ... -119.62 eV/cell
Calculated density ... 9.2 g/cm³
Volume ... 26.14 Å³/atom

Lattice parameters (Å, degrees): 3.9124 15.5121 9.4753 90.00 90.00 90.00
With the nearest neighbours (Å) after each atom.
Space group Imm2 (No. 44)
Symmetry-distinct sites (fractional):
Y1 0.0000 0.0000 0.0000 x2  3 Te 3.19-3.23
Er1 0.0000 0.3548 0.2622 x4  2 Pd 2.92, 2 Te 3.14
Lu1 0.0000 0.1303 0.4148 x4  2 Pd 2.82, 3 Te 3.08-3.15
Lu2 0.0000 0.3171 0.6247 x4  3 Pd 2.82-3.14, 1 Te 3.14
Te1 0.0000 0.0000 0.6596 x2  2 Lu 3.08, 4 Er 3.14, 1 Y 3.23
Te2 0.0000 0.5000 0.7662 x2  6 Lu 3.14-3.15, 2 Y 3.19
Pd1 0.0000 0.2390 0.9310 x4  5 Lu 2.82-3.14, 2 Er 2.92

Record 22
Compound: IrS2
Source: OQMD via LeMat-Bulk
Functional: PBE
Structure: relaxed

Calculated total energy ... -97.04 eV/cell
Calculated density ... 9.5 g/cm³
Volume ... 14.97 Å³/atom

Lattice parameters (Å, degrees): 7.1086 7.1086 7.1086 90.00 90.00 90.00
With the nearest neighbours (Å) after each atom.
Space group Fd-3m (No. 227, origin choice 2)
Symmetry-distinct sites (fractional):
Ir1 0.1250 0.1250 0.1250 x8  12 S 2.95, 4 Ir 3.08
S1 0.0000 0.0000 0.5000 x16  6 S 2.51

Record 23
Compound: YBeIrPb
Source: OQMD via LeMat-Bulk
Functional: PBE
Structure: relaxed

Calculated total energy ... -91.28 eV/cell
Calculated density ... 10.8 g/cm³
Volume ... 19.05 Å³/atom

Lattice parameters (Å, degrees): 6.7302 6.7302 6.7302 90.00 90.00 90.00
With the nearest neighbours (Å) after each atom.
Space group F-43m (No. 216)
Symmetry-distinct sites (fractional):
Y1 0.0000 0.0000 0.0000 x4  4 Be 2.91, 4 Ir 2.91
Be1 0.2500 0.2500 0.2500 x4  4 Pb 2.91, 4 Y 2.91
Ir1 0.2500 0.2500 0.7500 x4  4 Pb 2.91, 4 Y 2.91
Pb1 0.0000 0.0000 0.5000 x4  4 Ir 2.91, 4 Be 2.91

Record 24
Compound: LiNdIr
Source: OQMD via LeMat-Bulk
Functional: PBE
Structure: relaxed

Calculated total energy ... -63.49 eV/cell
Calculated density ... 9.6 g/cm³
Volume ... 19.79 Å³/atom

Lattice parameters (Å, degrees): 6.1926 6.1926 6.1926 90.00 90.00 90.00
With the nearest neighbours (Å) after each atom.
Space group F-43m (No. 216)
Symmetry-distinct sites (fractional):
Li1 0.0000 0.0000 0.0000 x4  4 Ir 2.68, 4 Nd 2.68
Nd1 0.2500 0.2500 0.2500 x4  4 Li 2.68
Ir1 0.2500 0.2500 0.7500 x4  4 Li 2.68